No. 1
Material: AlCr2Os
Method: DFT, PBE-GGA
State: optimized geometry

Its calculated total energy is -34.27 eV/cell.

The structure belongs to space group Pmmm (No. 47); the cell edges are 2.678, 3.891 and 5.007 Å and the angles 90.00°, 90.00° and 90.00°. Symmetry generates all atoms from Al at (0.000, 0.000, 0.000), Cr at (0.500, 0.500, 0.241) and Os at (0.000, 0.000, 0.500).

---

No. 2
Material: Sc6SnP2Se3
Method: DFT, PBE-GGA
State: optimized geometry

Its calculated total energy is -160.63 eV/cell. The formation energy from raw total energies is -1.4209 eV per atom.

The structure belongs to space group C2/m (No. 12); the cell edges are 16.996, 3.835 and 7.893 Å and the angles 90.00°, 103.51° and 90.00°. Symmetry generates all atoms from Sc at (0.008, 0.000, 0.266), Sc at (0.173, 0.500, 0.109), Sc at (0.174, 0.500, 0.572), Sn at (0.000, 0.500, 0.000), P at (0.168, 0.000, 0.337), Se at (0.000, 0.500, 0.500) and Se at (0.164, 0.000, 0.832).

---

No. 3
Material: PmHoAg3
Method: DFT, PBE-GGA
State: optimized geometry

Its calculated total energy is -76.07 eV/cell. As for the offset from the most stable computed form: 34 meV per atom.

The structure belongs to space group Pnnm (No. 58); the cell edges are 7.672, 7.939 and 7.971 Å and the angles 90.00°, 90.00° and 90.00°. Symmetry generates all atoms from Pm at (0.189, 0.164, 0.000), Ho at (0.186, 0.155, 0.500), Ag at (0.000, 0.500, 0.222) and Ag at (0.121, 0.866, 0.247).

---

No. 4
Material: BaCaZn2Au5
Method: DFT, PBE-GGA
State: optimized geometry

Its calculated total energy is -26.81 eV/cell.

The structure belongs to space group P4/mmm (No. 123); the cell edges are 5.009, 5.009 and 8.301 Å and the angles 90.00°, 90.00° and 90.00°. Symmetry generates all atoms from Ba at (0.000, 0.000, 0.000), Ca at (0.000, 0.000, 0.500), Zn at (0.500, 0.500, 0.340), Au at (0.000, 0.500, 0.271) and Au at (0.500, 0.500, 0.000).

---

No. 5
Material: RbInSeBr2
Method: DFT, PBE-GGA
State: optimized geometry

Its calculated total energy is -11.21 eV/cell. The formation energy from raw total energies is -0.1357 eV per atom. As for the offset from the most stable computed form: 760 meV per atom.

The structure belongs to space group P4/mmm (No. 123); the cell edges are 6.426, 6.426 and 6.225 Å and the angles 90.00°, 90.00° and 90.00°. Symmetry generates all atoms from Rb at (0.000, 0.000, 0.000), In at (0.500, 0.500, 0.500), Se at (0.000, 0.000, 0.500) and Br at (0.000, 0.500, 0.000).

---

No. 6
Material: AlZnNi6
Method: DFT, PBE-GGA
State: optimized geometry

Its calculated total energy is -334.81 eV/cell.

The structure belongs to space group Cmmm (No. 65); the cell edges are 7.142, 10.104 and 10.107 Å and the angles 90.00°, 90.00° and 90.00°. Symmetry generates all atoms from Al at (0.000, 0.000, 0.250), Al at (0.000, 0.250, 0.000), Zn at (0.000, 0.250, 0.500), Zn at (0.000, 0.500, 0.250), Ni at (0.000, 0.000, 0.000), Ni at (0.000, 0.000, 0.500), Ni at (0.000, 0.249, 0.249), Ni at (0.000, 0.500, 0.000), Ni at (0.000, 0.500, 0.500), Ni at (0.249, 0.125, 0.124) and Ni at (0.249, 0.125, 0.374).

---

Question: Number 2 is which compound?
Answer: Sc6SnP2Se3

---

Repeat the first record exactly.
Material: AlCr2Os
Method: DFT, PBE-GGA
State: optimized geometry

Its calculated total energy is -34.27 eV/cell.

The structure belongs to space group Pmmm (No. 47); the cell edges are 2.678, 3.891 and 5.007 Å and the angles 90.00°, 90.00° and 90.00°. Symmetry generates all atoms from Al at (0.000, 0.000, 0.000), Cr at (0.500, 0.500, 0.241) and Os at (0.000, 0.000, 0.500).

---

Question: Which value of calculated total energy does entry 3 give?
Answer: -76.07 eV/cell

---

Question: The highest calculated total energy belongs to which entry?
Answer: RbInSeBr2